# 1
MgSiTeRh2 GGA-PBE optimized geometry; VASP energy = -3.863 eV/atom; density of states at the Fermi level = 1.372 states/eV per atom; magnetization = 0.0 μB per formula unit; symmetry = P4/mmm
1.0
4.658 0.000 0.000
0.000 4.658 0.000
0.000 0.000 5.000
Mg Si Te Rh
1 1 1 2
Cartesian
0.000 0.000 0.000
2.329 2.329 2.500
0.000 0.000 2.500
0.000 2.329 0.000
2.329 0.000 0.000



# 2
Ho2MgCd GGA-PBE optimized geometry; density of states at the Fermi level = 1.172 states/eV per atom; magnetization = 0.0 μB per formula unit; symmetry = Fm-3m; ΔE_f = -0.1914 eV per atom
1.0
7.493 0.000 0.000
0.000 7.493 0.000
0.000 0.000 7.493
Ho Mg Cd
8 4 4
Cartesian
1.873 1.873 1.873
1.873 1.873 5.619
1.873 5.619 1.873
1.873 5.619 5.619
5.619 1.873 1.873
5.619 1.873 5.619
5.619 5.619 1.873
5.619 5.619 5.619
0.000 0.000 0.000
0.000 3.746 3.746
3.746 0.000 3.746
3.746 3.746 0.000
0.000 0.000 3.746
0.000 3.746 0.000
3.746 0.000 0.000
3.746 3.746 3.746



# 3
Li2NdGa2Au2 GGA-PBE optimized geometry; density of states at the Fermi level = 0.394 states/eV per atom; magnetization = 0.0 μB per formula unit; symmetry = C2/m; ΔE_f = -0.5943 eV per atom
1.0
7.865 0.000 0.000
0.000 4.510 0.000
-2.525 0.000 7.524
Li Nd Ga Au
4 2 4 4
Cartesian
0.026 0.000 3.190
1.381 2.255 4.334
3.958 2.255 3.190
5.313 0.000 4.334
0.000 0.000 0.000
3.932 2.255 0.000
-1.236 2.255 5.248
2.643 0.000 2.276
2.696 0.000 5.248
6.575 2.255 2.276
1.323 2.255 1.773
0.084 0.000 5.751
5.255 0.000 1.773
4.017 2.255 5.751



# 4
NaPm2TmTe4 GGA-PBE optimized geometry; VASP energy = -4.807 eV/atom; density of states at the Fermi level = 0.406 states/eV per atom; magnetization = 0.0 μB per formula unit; symmetry = P2/m
1.0
7.671 0.000 0.000
0.000 4.393 0.000
-2.492 0.000 7.304
Na Pm Tm Te
1 2 1 4
Cartesian
0.000 0.000 0.000
-1.246 2.196 3.652
2.589 0.000 3.652
3.836 2.196 0.000
1.330 2.196 1.774
0.069 0.000 5.565
5.110 0.000 1.739
3.849 2.196 5.530



# 5
Li2YP2Pd2 GGA-PBE optimized geometry; density of states at the Fermi level = 0.248 states/eV per atom; magnetization = 0.0 μB per formula unit; symmetry = R-3m; ΔE_f = -0.9598 eV per atom
1.0
2.062 1.191 7.587
-2.062 1.191 7.587
0.000 -2.381 7.587
Li Y P Pd
2 1 2 2
Cartesian
0.000 0.000 3.234
0.000 0.000 19.528
0.000 0.000 0.000
0.000 0.000 5.778
0.000 0.000 16.984
0.000 0.000 9.665
0.000 0.000 13.098



# 6
Ag3BRh GGA-PBE optimized geometry; density of states at the Fermi level = 1.059 states/eV per atom; distance to the lowest polymorph of the same formula = 1.218 eV/atom; magnetization = 0.8 μB per formula unit; symmetry = Pm-3m; ΔE_f = 1.8989 eV per atom
1.0
5.053 0.000 0.000
0.000 5.053 0.000
0.000 0.000 5.053
Ag B Rh
3 1 1
Cartesian
0.000 0.000 2.526
0.000 2.526 0.000
2.526 0.000 0.000
2.526 2.526 2.526
0.000 0.000 0.000